Entry 1:
VASP calculation (PBE) on a relaxed LiTl2O4 crystal.

Cell lengths 7.5350, 7.5350, 6.8152 Å; angles 90.00, 90.00, 90.00 degrees
With the nearest neighbours (Å) after each atom.
Space group I-42d (No. 122)
One atom of each set of equivalent atoms:
Li 0.0000 0.0000 0.0000 x4  4 O 2.00
Tl 0.2167 0.7500 0.6250 x8  6 O 2.19-2.34
O 0.0571 0.7408 0.3564 x16  1 Li 2.00, 1 Tl 2.19

## Properties
The value obtained for the theoretical density is 8.235 g cm⁻³. Its density of states at the Fermi level is 14.39 states/eV per cell. The electronic total energy comes out at -4.525 eV/atom. The formation energy without anion corrections comes out at -743 meV/atom.

Entry 2:
VASP calculation (PBE) on a relaxed CrTc3 crystal.

Cell lengths 4.4452, 4.4452, 4.4452 Å; angles 90.00, 90.00, 90.00 degrees
With the nearest neighbours (Å) after each atom.
Space group Pm-3m (No. 221)
One atom of each set of equivalent atoms:
Cr 0.0000 0.0000 0.0000 x1  6 Tc 2.22
Tc 0.0000 0.0000 0.5000 x3  2 Cr 2.22

## Properties
The value obtained for the theoretical density is 6.541 g cm⁻³. Its density of states at the Fermi level is 5.64 states/eV per cell. The electronic total energy comes out at -8.105 eV/atom. Its formation energy is 2.0756 eV/atom.

Entry 3:
VASP calculation (PBE) on a relaxed AgS2ClF crystal.

Cell lengths 4.0711, 4.0711, 6.9101 Å; angles 90.00, 90.00, 90.00 degrees
With the nearest neighbours (Å) after each atom.
Space group P4/mmm (No. 123)
One atom of each set of equivalent atoms:
Ag 0.0000 0.0000 0.0000 x1  4 Cl 2.88
S 0.0000 0.5000 0.5000 x2  2 F 2.04
Cl 0.5000 0.5000 0.0000 x1  4 Ag 2.88
F 0.5000 0.5000 0.5000 x1  4 S 2.04

## Properties
The value obtained for the theoretical density is 3.283 g cm⁻³. Its energy above the lowest structure with this stoichiometry is 0.0 kJ per mole of atoms. Its density of states at the Fermi level is 5.65 states/eV per cell. The electronic total energy comes out at -2.491 eV/atom. The formation energy without anion corrections comes out at 474 meV/atom.

Entry 4:
VASP calculation (PBE) on a relaxed Tb3TePt crystal.

Cell lengths 4.1166, 13.6143, 10.3020 Å; angles 90.00, 90.00, 90.00 degrees
With the nearest neighbours (Å) after each atom.
Space group Cmcm (No. 63)
One atom of each set of equivalent atoms:
Tb 0.0000 0.0706 0.2500 x4  2 Pt 2.75
Tb 0.0000 0.3645 0.0533 x8  2 Pt 2.82
Te 0.0000 0.2504 0.7500 x4  8 Tb 3.19-3.49
Pt 0.0000 0.0000 0.0000 x4  6 Tb 2.75-2.82

## Properties
The value obtained for the theoretical density is 9.197 g cm⁻³. Its density of states at the Fermi level is 14.26 states/eV per cell. The electronic total energy comes out at -5.616 eV/atom. The formation energy without anion corrections comes out at -1002 meV/atom.

Entry 5:
VASP calculation (PBE) on a relaxed TlRe2Sb crystal.

Cell lengths 3.0491, 3.0491, 8.8156 Å; angles 90.00, 90.00, 90.00 degrees
With the nearest neighbours (Å) after each atom.
Space group P4mm (No. 99)
One atom of each set of equivalent atoms:
Tl 0.0000 0.0000 0.0000 x1  4 Tl 3.05, 4 Re 3.10
Re 0.0000 0.0000 0.4224 x1  4 Re 2.63, 4 Sb 2.94
Re 0.5000 0.5000 0.2519 x1  4 Re 2.63
Sb 0.5000 0.5000 0.6491 x1  4 Re 2.94, 4 Sb 3.05

## Properties
The value obtained for the theoretical density is 14.153 g cm⁻³. Its energy above the lowest structure with this stoichiometry is 0.0 kJ per mole of atoms. Its density of states at the Fermi level is 2.02 states/eV per cell. The electronic total energy comes out at -7.465 eV/atom. The formation energy without anion corrections comes out at 381 meV/atom.

Entry 6:
VASP calculation (PBE) on a relaxed Nd8SiGe3I4 crystal.

Cell lengths 8.7075, 8.7075, 23.1081 Å; angles 90.00, 90.00, 120.00 degrees
With the nearest neighbours (Å) after each atom.
Space group R-3m (No. 166, hexagonal axes)
One atom of each set of equivalent atoms:
Nd 0.0000 0.0000 0.2330 x6  3 Ge 2.94
Nd 0.0026 0.5013 0.2329 x18  1 Si 2.93, 2 Ge 2.95
Si 0.0000 0.0000 0.5000 x3  6 Nd 2.93
Ge 0.0000 0.5000 0.5000 x9  6 Nd 2.94-2.95
I 0.0000 0.0000 0.0000 x3  6 Nd 3.44
I 0.0000 0.5000 0.0000 x9  6 Nd 3.41-3.42

## Properties
The value obtained for the theoretical density is 6.263 g cm⁻³. Its density of states at the Fermi level is 20.39 states/eV per cell. The electronic total energy comes out at -4.986 eV/atom. The formation energy without anion corrections comes out at -1010 meV/atom.

Entry 7:
VASP calculation (PBE) on a relaxed Fe2SiMo crystal.

Cell lengths 4.0981, 4.0981, 2.8976 Å; angles 90.00, 90.00, 90.00 degrees
With the nearest neighbours (Å) after each atom.
Space group P4/mmm (No. 123)
One atom of each set of equivalent atoms:
Fe 0.0000 0.5000 0.0000 x2  4 Mo 2.51, 4 Si 2.51
Si 0.0000 0.0000 0.5000 x1  8 Fe 2.51
Mo 0.5000 0.5000 0.5000 x1  8 Fe 2.51

## Properties
The value obtained for the theoretical density is 8.043 g cm⁻³. Its density of states at the Fermi level is 3.64 states/eV per cell. The electronic total energy comes out at -8.377 eV/atom. The formation energy without anion corrections comes out at -83 meV/atom.

Entry 8:
VASP calculation (PBE) on a relaxed MnSb2P2 crystal.

Cell lengths 6.0441, 3.5077, 9.6322 Å; angles 90.00, 101.74, 90.00 degrees
With the nearest neighbours (Å) after each atom.
Space group C2/m (No. 12)
One atom of each set of equivalent atoms:
Mn 0.0000 0.0000 0.0000 x2  6 Sb 2.66
Sb 0.1065 0.5000 0.8171 x4  3 Mn 2.66
P 0.1867 0.0000 0.5618 x4  3 P 2.33

## Properties
The value obtained for the theoretical density is 5.986 g cm⁻³. Its energy above the lowest structure with this stoichiometry is 0.0 kJ per mole of atoms. Its density of states at the Fermi level is 2.77 states/eV per cell. The electronic total energy comes out at -5.531 eV/atom. The formation energy without anion corrections comes out at 116 meV/atom.

Entry 9:
VASP calculation (PBE) on a relaxed KV3Pb crystal.

Cell lengths 4.4479, 4.4479, 4.4479 Å; angles 90.00, 90.00, 90.00 degrees
With the nearest neighbours (Å) after each atom.
Space group Pm-3m (No. 221)
One atom of each set of equivalent atoms:
K 0.0000 0.0000 0.0000 x1  6 V 2.22
V 0.0000 0.0000 0.5000 x3  2 K 2.22
Pb 0.5000 0.5000 0.5000 x1  12 V 3.15

## Properties
The value obtained for the theoretical density is 7.532 g cm⁻³. Its energy above the lowest structure with this stoichiometry is 85.1 kJ per mole of atoms. Its density of states at the Fermi level is 6.50 states/eV per cell. The electronic total energy comes out at -4.078 eV/atom. Its formation energy is 2.3544 eV/atom.

Entry 10:
VASP calculation (PBE) on a relaxed NaAcTmTe3 crystal.

Cell lengths 8.4431, 4.6435, 10.2669 Å; angles 90.00, 109.09, 90.00 degrees
With the nearest neighbours (Å) after each atom.
Space group P2_1/m (No. 11)
One atom of each set of equivalent atoms:
Na 0.0981 0.2500 0.0853 x2  4 Te 3.03-3.16, 2 Na 3.05
Ac 0.2348 0.2500 0.7559 x2  7 Te 3.34-3.69
Tm 0.3073 0.7500 0.3379 x2  6 Te 3.03-3.20
Te 0.0795 0.2500 0.3755 x2  1 Na 3.03, 2 Tm 3.12
Te 0.2982 0.7500 0.0239 x2  3 Na 3.06-3.16, 1 Tm 3.20
Te 0.4492 0.7500 0.6494 x2  3 Tm 3.03-3.08, 2 Ac 3.34

## Properties
The value obtained for the theoretical density is 7.000 g cm⁻³. Its density of states at the Fermi level is 4.23 states/eV per cell. The electronic total energy comes out at -4.437 eV/atom. The formation energy without anion corrections comes out at -1216 meV/atom.

Q: theoretical density of number 2 (CrTc3)?
A: 6.541 g cm⁻³

Q: Which of these has the highest electronic total energy?
A: AgS2ClF

Q: electronic total energy of number 4 (Tb3TePt)?
A: -5.616 eV/atom